Record 1
# Mg2TlW PBE relaxed
# ΔE_f = 1.44 eV/f.u.
data_Mg2TlW
_chemical_formula_sum 'Mg4 Tl2 W2'
_cell_length_a 4.0265
_cell_length_b 4.2886
_cell_length_c 9.4380
_cell_angle_alpha 90.00
_cell_angle_beta 90.00
_cell_angle_gamma 90.00
_space_group_name_H-M_alt 'C m m m'
_space_group_IT_number 65
_space_group_name_Hall '-C 2 2'
loop_
_atom_site_label
_atom_site_type_symbol
_atom_site_fract_x
_atom_site_fract_y
_atom_site_fract_z
Mg1 Mg 0.0000 0.0000 0.2220
Tl1 Tl 0.0000 0.5000 0.5000
W1 W 0.0000 0.5000 0.0000

***

Record 2
# MgTl2W PBE relaxed
# ΔE_f = 2.83 eV/f.u.
data_MgTl2W
_chemical_formula_sum 'Mg2 Tl4 W2'
_cell_length_a 9.9657
_cell_length_b 3.0412
_cell_length_c 5.6649
_cell_angle_alpha 90.00
_cell_angle_beta 98.71
_cell_angle_gamma 90.00
_space_group_name_H-M_alt 'C 1 2/m 1'
_space_group_IT_number 12
_space_group_name_Hall '-C 2y'
loop_
_atom_site_label
_atom_site_type_symbol
_atom_site_fract_x
_atom_site_fract_y
_atom_site_fract_z
Mg1 Mg 0.0000 0.0000 0.0000
Tl1 Tl 0.2451 0.0000 0.7397
W1 W 0.0000 0.5000 0.5000

***

Record 3
# MgTl2W PBE relaxed
# ΔE_f = 4.20 eV/f.u.
data_MgTl2W
_chemical_formula_sum 'Mg4 Tl8 W4'
_cell_length_a 4.3506
_cell_length_b 4.3506
_cell_length_c 19.9732
_cell_angle_alpha 90.00
_cell_angle_beta 90.00
_cell_angle_gamma 90.00
_space_group_name_H-M_alt 'I -4 2 d'
_space_group_IT_number 122
_space_group_name_Hall 'I -4 2bw'
loop_
_atom_site_label
_atom_site_type_symbol
_atom_site_fract_x
_atom_site_fract_y
_atom_site_fract_z
Mg1 Mg 0.0000 0.0000 0.0000
Tl1 Tl 0.2312 0.2500 0.6250
W1 W 0.0000 0.0000 0.5000

***

Record 4
# Mg3TlW PBE relaxed
# ΔE_f = 7.14 eV/f.u.
data_Mg3TlW
_chemical_formula_sum 'Mg3 Tl1 W1'
_cell_length_a 5.2559
_cell_length_b 5.2559
_cell_length_c 5.2559
_cell_angle_alpha 90.00
_cell_angle_beta 90.00
_cell_angle_gamma 90.00
_space_group_name_H-M_alt 'P m -3 m'
_space_group_IT_number 221
_space_group_name_Hall '-P 4 2 3'
loop_
_atom_site_label
_atom_site_type_symbol
_atom_site_fract_x
_atom_site_fract_y
_atom_site_fract_z
Mg1 Mg 0.0000 0.0000 0.5000
Tl1 Tl 0.0000 0.0000 0.0000
W1 W 0.5000 0.5000 0.5000

***

Record 5
# Mg2TlW PBE relaxed
# ΔE_f = 3.12 eV/f.u.
data_Mg2TlW
_chemical_formula_sum 'Mg8 Tl4 W4'
_cell_length_a 6.8224
_cell_length_b 6.8224
_cell_length_c 6.8224
_cell_angle_alpha 90.00
_cell_angle_beta 90.00
_cell_angle_gamma 90.00
_space_group_name_H-M_alt 'F m -3 m'
_space_group_IT_number 225
_space_group_name_Hall '-F 4 2 3'
loop_
_atom_site_label
_atom_site_type_symbol
_atom_site_fract_x
_atom_site_fract_y
_atom_site_fract_z
Mg1 Mg 0.2500 0.2500 0.2500
Tl1 Tl 0.0000 0.0000 0.0000
W1 W 0.0000 0.0000 0.5000

***

Record 6
# MgTl2W PBE relaxed
# ΔE_f = 2.85 eV/f.u.
data_MgTl2W
_chemical_formula_sum 'Mg2 Tl4 W2'
_cell_length_a 4.0924
_cell_length_b 4.1520
_cell_length_c 9.6684
_cell_angle_alpha 90.00
_cell_angle_beta 90.00
_cell_angle_gamma 90.00
_space_group_name_H-M_alt 'I m m 2'
_space_group_IT_number 44
_space_group_name_Hall 'I 2 -2'
loop_
_atom_site_label
_atom_site_type_symbol
_atom_site_fract_x
_atom_site_fract_y
_atom_site_fract_z
Mg1 Mg 0.0000 0.0000 0.0000
Tl1 Tl 0.0000 0.0000 0.5016
Tl2 Tl 0.0000 0.5000 0.7507
W1 W 0.0000 0.5000 0.2511

***

Record 7
# MgTl2W PBE relaxed
# ΔE_f = 3.15 eV/f.u.
data_MgTl2W
_chemical_formula_sum 'Mg2 Tl4 W2'
_cell_length_a 4.2800
_cell_length_b 4.2800
_cell_length_c 8.9508
_cell_angle_alpha 90.00
_cell_angle_beta 90.00
_cell_angle_gamma 90.00
_space_group_name_H-M_alt 'I 4/m m m'
_space_group_IT_number 139
_space_group_name_Hall '-I 4 2'
loop_
_atom_site_label
_atom_site_type_symbol
_atom_site_fract_x
_atom_site_fract_y
_atom_site_fract_z
Mg1 Mg 0.0000 0.0000 0.0000
Tl1 Tl 0.0000 0.5000 0.2500
W1 W 0.0000 0.0000 0.5000

***

Record 8
# MgTl3W PBE relaxed
# ΔE_f = 7.27 eV/f.u.
data_MgTl3W
_chemical_formula_sum 'Mg1 Tl3 W1'
_cell_length_a 5.3909
_cell_length_b 5.3909
_cell_length_c 5.3909
_cell_angle_alpha 90.00
_cell_angle_beta 90.00
_cell_angle_gamma 90.00
_space_group_name_H-M_alt 'P m -3 m'
_space_group_IT_number 221
_space_group_name_Hall '-P 4 2 3'
loop_
_atom_site_label
_atom_site_type_symbol
_atom_site_fract_x
_atom_site_fract_y
_atom_site_fract_z
Mg1 Mg 0.0000 0.0000 0.0000
Tl1 Tl 0.0000 0.0000 0.5000
W1 W 0.5000 0.5000 0.5000

***

Summary of relative energy among the computed polymorphs in meV per atom
0; 124; 467; 310; 421; 129; 204; 601
(order as listed above)